(1)
This record from Alexandria via LeMat-Bulk describes a relaxed PmLuInBi crystal. The functional is PBE.

The value obtained for the calculated formation energy is -40.7 kJ per mole of atoms.

The structure belongs to space group F-43m (No. 216); the cell edges are 7.703, 7.703 and 7.703 Å and the angles 90.00°, 90.00° and 90.00°. Symmetry generates all atoms from Pm at (0.000, 0.000, 0.000), Lu at (0.000, 0.000, 0.500), In at (0.250, 0.250, 0.750) and Bi at (0.250, 0.250, 0.250).



(2)
This record from Alexandria via LeMat-Bulk describes a relaxed Mg8In2Bi crystal. The functional is PBE.

The value obtained for the calculated formation energy is -7.1 kJ per mole of atoms.

The structure belongs to space group C2/m (No. 12); the cell edges are 16.361, 4.583 and 7.241 Å and the angles 90.00°, 105.67° and 90.00°. Symmetry generates all atoms from Mg at (0.045, 0.000, 0.221), Mg at (0.094, 0.500, 0.964), Mg at (0.143, 0.000, 0.698), Mg at (0.183, 0.500, 0.413), In at (0.224, 0.000, 0.149) and Bi at (0.000, 0.500, 0.500).



(3)
This record from Alexandria via LeMat-Bulk describes a relaxed Mg3InBi crystal. The functional is PBE.

The calculation puts the energy above the most stable polymorph in this dataset at 0.394 eV per atom. The value obtained for the calculated formation energy is 27.7 kJ per mole of atoms.

The structure belongs to space group Pm-3m (No. 221); the cell edges are 5.317, 5.317 and 5.317 Å and the angles 90.00°, 90.00° and 90.00°. Symmetry generates all atoms from Mg at (0.000, 0.000, 0.500), In at (0.000, 0.000, 0.000) and Bi at (0.500, 0.500, 0.500).



(4)
This record from Alexandria via LeMat-Bulk describes a relaxed Mg7In3Bi crystal. The functional is PBE.

The value obtained for the calculated formation energy is -0.3 kJ per mole of atoms.

The structure belongs to space group C2/m (No. 12); the cell edges are 10.474, 11.139 and 5.740 Å and the angles 90.00°, 121.81° and 90.00°. Symmetry generates all atoms from Mg at (0.000, 0.000, 0.000), Mg at (0.172, 0.500, 0.144), Mg at (0.174, 0.276, 0.677), In at (0.000, 0.270, 0.000), In at (0.000, 0.500, 0.500) and Bi at (0.000, 0.000, 0.500).